Entry from Alexandria via LeMat-Bulk: crystalline Mg7Ga2Hg at its relaxed geometry (PBE).

a b c (Å): 4.7263 4.7263 11.4814
angles (deg): 90.00 90.00 120.00
Space group P3m1 (No. 156)
Asymmetric unit:
Mg1 0.0000 0.0000 0.0000 (multiplicity 1)
Mg2 0.0000 0.0000 0.2625 (multiplicity 1)
Mg3 0.0000 0.0000 0.7336 (multiplicity 1)
Mg4 0.3333 0.6667 0.4189 (multiplicity 1)
Mg5 0.3333 0.6667 0.8928 (multiplicity 1)
Mg6 0.6667 0.3333 0.1110 (multiplicity 1)
Mg7 0.6667 0.3333 0.5749 (multiplicity 1)
Ga1 0.0000 0.0000 0.4977 (multiplicity 1)
Ga2 0.3333 0.6667 0.1586 (multiplicity 1)
Hg1 0.6667 0.3333 0.8376 (multiplicity 1)

## Properties
crystal system: trigonal
formation energy from the elements: -0.104 eV per atom


Entry from Alexandria via LeMat-Bulk: crystalline NaZnFeGe2 at its relaxed geometry (PBE).

a b c (Å): 4.536 4.536 4.766
angles (deg): 90.00 90.00 90.00
Space group P4/mmm (No. 123)
Asymmetric unit:
Na1 0.000 0.000 0.000 (multiplicity 1)
Zn1 0.500 0.500 0.000 (multiplicity 1)
Fe1 0.500 0.500 0.500 (multiplicity 1)
Ge1 0.000 0.500 0.500 (multiplicity 2)

## Properties
crystal system: tetragonal
formation energy from the elements: 0.015 eV per atom


Entry from Alexandria via LeMat-Bulk: crystalline Tl3C at its relaxed geometry (PBE).

a b c (Å): 4.753 4.753 21.439
angles (deg): 90.00 90.00 90.00
Space group I4/mmm (No. 139)
Asymmetric unit:
Tl1 0.000 0.000 0.110 (multiplicity 4)
Tl2 0.000 0.500 0.000 (multiplicity 4)
Tl3 0.000 0.500 0.250 (multiplicity 4)
C1 0.000 0.000 0.216 (multiplicity 4)

## Properties
crystal system: tetragonal
energy relative to the lowest polymorph listed for this composition: 482.4 meV per atom
formation energy from the elements: 1.068 eV per atom


Number 1: E_tot -0.068 hartree per atom, N(E_F) 4.87 states/eV/cell. Number 2: E_tot -0.149 hartree per atom, N(E_F) 2.34 states/eV/cell. Number 3: E_tot -0.111 hartree per atom, N(E_F) 6.39 states/eV/cell.